Entry from the Alexandria database: an optimized crystal structure of DyMnTl2F6 (GGA+U).

Cell lengths 6.2887, 6.2887, 6.2887 Å; angles 60.00, 60.00, 60.00 degrees
Fractional positions:
Dy (0.0000, 0.0000, 0.0000)
Mn (0.5000, 0.5000, 0.5000)
Tl (0.2500, 0.2500, 0.2500)
Tl (0.7500, 0.7500, 0.7500)
F (0.2500, 0.2500, 0.7500)
F (0.2500, 0.7500, 0.2500)
F (0.2500, 0.7500, 0.7500)
F (0.7500, 0.2500, 0.2500)
F (0.7500, 0.2500, 0.7500)
F (0.7500, 0.7500, 0.2500)

Values from the calculation:
Its space group is Fm-3m. The total energy comes out at -5.451 eV/atom. The value obtained for the calculated volume is 175.86 Å³/cell.